[1]
## MnRu2Br (PBEsol)

Data for an optimized crystal structure of MnRu2Br.

D(E_F): 1.46 states/eV per atom
relative energy among the computed polymorphs: 0.135 eV/atom
spin magnetization: 3.40 μB/f.u.
raw formation energy: 0.882 eV per atom

a = 4.3100 Å, b = 4.3100 Å, c = 4.3100 Å
α = 60.00°, β = 60.00°, γ = 60.00°
Atoms (fractional coordinates):
Mn 0.0000 0.0000 0.0000
Ru 0.2500 0.2500 0.2500
Ru 0.7500 0.7500 0.7500
Br 0.5000 0.5000 0.5000

***

[2]
## Cd2IrCl (PBEsol)

Data for an optimized crystal structure of Cd2IrCl.

D(E_F): 1.20 states/eV per atom
relative energy among the computed polymorphs: 0.040 eV/atom
spin magnetization: 0.02 μB/f.u.
raw formation energy: 0.316 eV per atom

a = 8.9736 Å, b = 8.9736 Å, c = 8.9736 Å
α = 19.67°, β = 19.67°, γ = 19.67°
Atoms (fractional coordinates):
Cd 0.0000 0.0000 0.0000
Cd 0.2396 0.2396 0.2396
Ir 0.7464 0.7464 0.7464
Cl 0.4875 0.4875 0.4875